*A*
Material: PrNd6Dy3
Method: DFT, PBE
State: relaxed

The space group is Cmc2_1 (No. 36) and the conventional cell measures 11.068, 19.366 and 6.399 Å, with angles of 90.00, 90.00 and 90.00 degrees. The asymmetric unit holds Pr at (0.000, 0.192, 0.000), Nd at (0.000, 0.036, 0.761), Nd at (0.000, 0.282, 0.541), Nd at (0.169, 0.460, 0.443), Nd at (0.235, 0.291, 0.267), Dy at (0.000, 0.384, 0.983) and Dy at (0.175, 0.116, 0.356).

*B*
Material: PrNd6Dy3
Method: DFT, PBE
State: relaxed

The space group is Cmc2_1 (No. 36) and the conventional cell measures 9.845, 21.527 and 6.522 Å, with angles of 90.00, 90.00 and 90.00 degrees. The asymmetric unit holds Pr at (0.000, 0.155, 0.000), Nd at (0.000, 0.014, 0.776), Nd at (0.000, 0.300, 0.798), Nd at (0.174, 0.282, 0.322), Nd at (0.179, 0.441, 0.570), Dy at (0.000, 0.419, 0.091) and Dy at (0.169, 0.128, 0.476).

The most stable structure shown above is *B*; the least stable is *A*.